A geometry-optimized MnCuOF2 structure, computed with GGA+U.

Output
* mass density: 4.8 g cm⁻³
* energy above the lowest structure with this stoichiometry: 96 meV per atom

Cell lengths 3.8900, 3.8900, 3.9394 Å; angles 90.00, 90.00, 90.00 degrees
Closest atoms and distances in Å follow each position.
Space group P4/mmm (No. 123)
One atom of each set of equivalent atoms:
Mn 0.0000 0.0000 0.0000 [1 per cell]  4 O 2.75, 8 F 2.77
Cu 0.5000 0.5000 0.5000 [1 per cell]  4 F 1.94, 2 O 1.97
O 0.5000 0.5000 0.0000 [1 per cell]  2 Cu 1.97
F 0.0000 0.5000 0.5000 [2 per cell]  2 Cu 1.94